(1)
The following is a DFT calculation (PBE-GGA) of a relaxed Ba2Li2Cu crystal.

Results
The energy relative to the elements comes out at 64 meV/atom.

a = 12.2952 Å, b = 5.3812 Å, c = 5.3804 Å
α = 90.00°, β = 115.85°, γ = 90.00°
Closest atoms and distances in Å follow each position.
Space group C2/m (No. 12)
One atom of each set of equivalent atoms:
Ba (0.1832, 0.0000, 0.1833)  2 Cu 3.37, 6 Li 3.65-3.73
Li (0.0000, 0.2641, 0.5000)  2 Li 2.54-2.84
Cu (0.0000, 0.5000, 0.0000)  4 Li 2.97

***

(2)
The following is a DFT calculation (PBE-GGA) of a relaxed BaLi3Cu3 crystal.

Results
The energy relative to the elements comes out at 242 meV/atom.

a = 6.8060 Å, b = 6.8060 Å, c = 6.8060 Å
α = 90.00°, β = 90.00°, γ = 90.00°
Closest atoms and distances in Å follow each position.
Space group Pm-3n (No. 223)
One atom of each set of equivalent atoms:
Ba (0.0000, 0.0000, 0.0000)  12 Li 3.80, 12 Cu 3.80
Li (0.0000, 0.2500, 0.5000)  4 Cu 2.41
Cu (0.0000, 0.5000, 0.2500)  4 Li 2.41

***

(3)
The following is a DFT calculation (PBE-GGA) of a relaxed Ba2Li2Cu crystal.

Results
The energy relative to the elements comes out at 188 meV/atom.

a = 7.7880 Å, b = 7.7880 Å, c = 5.3337 Å
α = 90.00°, β = 90.00°, γ = 90.00°
Closest atoms and distances in Å follow each position.
Space group P4/mbm (No. 127)
One atom of each set of equivalent atoms:
Ba (0.1879, 0.3121, 0.0000)  6 Li 3.33-3.67
Li (0.1313, 0.6313, 0.5000)  1 Li 2.89, 2 Cu 3.05
Cu (0.0000, 0.0000, 0.5000)  4 Li 3.05

***

Sequential calculated total energy output: -2.2899; -2.6082; -2.1657 eV/atom